A) # Ta3NbPb

Ta3NbPb after structural relaxation (PBE, the Alexandria database).

Cell: 4.9369 4.9369 4.9369 Å, 90.00 90.00 90.00°
Sites, in units of the cell vectors:
Nb 0.0000 0.0000 0.0000
Ta 0.0000 0.0000 0.5000
Ta 0.0000 0.5000 0.0000
Ta 0.5000 0.0000 0.0000
Pb 0.5000 0.5000 0.5000

B) # Ta3NbPb

Ta3NbPb after structural relaxation (PBE, the Alexandria database).

Cell: 5.0379 5.0379 5.0379 Å, 90.00 90.00 90.00°
Sites, in units of the cell vectors:
Pb 0.0000 0.0000 0.0000
Ta 0.0000 0.0000 0.5000
Ta 0.0000 0.5000 0.0000
Ta 0.5000 0.0000 0.0000
Nb 0.5000 0.5000 0.5000

It is A) that is most stable; the runner-up trails by 915 meV per atom.

A) # Nb2Tc2Pb

Nb2Tc2Pb after structural relaxation (PBE, the Alexandria database).

Cell: 7.6800 7.6800 3.1435 Å, 90.00 90.00 90.00°
Sites, in units of the cell vectors:
Nb 0.1524 0.6524 0.5000
Nb 0.8476 0.3476 0.5000
Nb 0.6524 0.8476 0.5000
Nb 0.3476 0.1524 0.5000
Tc 0.6356 0.1356 0.0000
Tc 0.8644 0.6356 0.0000
Tc 0.3644 0.8644 0.0000
Tc 0.1356 0.3644 0.0000
Pb 0.5000 0.5000 0.0000
Pb 0.0000 0.0000 0.0000

B) # Nb2Tc2Pb

Nb2Tc2Pb after structural relaxation (PBE, the Alexandria database).

Cell: 4.3228 4.3228 6.2388 Å, 69.73 69.73 90.00°
Sites, in units of the cell vectors:
Pb 0.0000 0.0000 0.0000
Nb 0.2500 0.7500 0.5000
Nb 0.7500 0.2500 0.5000
Tc 0.3845 0.3845 0.2311
Tc 0.6155 0.6155 0.7689

It is A) that is most stable; the runner-up trails by 54 meV per atom.

A) # Nb2TcPb2

Nb2TcPb2 after structural relaxation (PBE, the Alexandria database).

Cell: 6.7105 6.7105 4.8470 Å, 90.00 90.00 90.00°
Sites, in units of the cell vectors:
Nb 0.3542 0.8542 0.0000
Nb 0.6458 0.1458 0.0000
Nb 0.1458 0.3542 0.0000
Nb 0.8542 0.6458 0.0000
Pb 0.6758 0.8242 0.5000
Pb 0.3242 0.1758 0.5000
Pb 0.8242 0.3242 0.5000
Pb 0.1758 0.6758 0.5000
Tc 0.5000 0.5000 0.0000
Tc 0.0000 0.0000 0.0000

B) # Nb2TcPb2

Nb2TcPb2 after structural relaxation (PBE, the Alexandria database).

Cell: 3.9994 3.9994 7.7303 Å, 75.01 75.01 90.00°
Site moments in Bohr magnetons follow the coordinates.
Sites, in units of the cell vectors:
Tc 0.0000 0.0000 0.0000  1.06
Pb 0.2500 0.7500 0.5000  0.00
Pb 0.7500 0.2500 0.5000  0.00
Nb 0.4162 0.4162 0.1675  -0.21
Nb 0.5838 0.5838 0.8325  -0.21

It is A) that is most stable; the runner-up trails by 535 meV per atom.

A) # NbTcPb2

NbTcPb2 after structural relaxation (PBE, the Alexandria database).

Cell: 4.8596 4.8596 4.8596 Å, 60.00 60.00 60.00°
Site moments in Bohr magnetons follow the coordinates.
Sites, in units of the cell vectors:
Pb 0.2500 0.2500 0.2500  0.01
Pb 0.7500 0.7500 0.7500  0.01
Nb 0.0000 0.0000 0.0000  1.05
Tc 0.5000 0.5000 0.5000  0.29

B) # NbTcPb2

NbTcPb2 after structural relaxation (PBE, the Alexandria database).

Cell: 7.7797 7.7797 6.2490 Å, 51.50 51.50 90.00°
Sites, in units of the cell vectors:
Nb 0.5000 0.5000 0.0000
Nb 0.2500 0.7500 0.5000
Tc 0.0000 0.0000 0.0000
Tc 0.7500 0.2500 0.5000
Pb 0.8750 0.8945 0.7500
Pb 0.1055 0.6250 0.2500
Pb 0.6445 0.1250 0.2500
Pb 0.3750 0.3555 0.7500

It is A) that is most stable; the runner-up trails by 319 meV per atom.

A) # NbTc3Pb

NbTc3Pb after structural relaxation (PBE, the Alexandria database).

Cell: 4.7988 4.7988 4.7988 Å, 90.00 90.00 90.00°
Site moments in Bohr magnetons follow the coordinates.
Sites, in units of the cell vectors:
Tc 0.5000 0.0000 0.0000  0.92
Tc 0.0000 0.5000 0.0000  0.92
Tc 0.0000 0.0000 0.5000  1.05
Pb 0.5000 0.5000 0.5000  -0.02
Nb 0.0000 0.0000 0.0000  -0.17

B) # NbTc3Pb

NbTc3Pb after structural relaxation (PBE, the Alexandria database).

Cell: 4.8512 4.8512 4.8512 Å, 90.00 90.00 90.00°
Site moments in Bohr magnetons follow the coordinates.
Sites, in units of the cell vectors:
Tc 0.0000 0.0000 0.5000  0.60
Tc 0.5000 0.0000 0.0000  0.38
Tc 0.0000 0.5000 0.0000  0.52
Pb 0.0000 0.0000 0.0000  0.00
Nb 0.5000 0.5000 0.5000  -0.63

It is A) that is most stable; the runner-up trails by 906 meV per atom.

A) # NbTePb3

NbTePb3 after structural relaxation (PBE, the Alexandria database).

Cell: 5.5614 5.5614 5.5614 Å, 90.00 90.00 90.00°
Site moments in Bohr magnetons follow the coordinates.
Sites, in units of the cell vectors:
Pb 0.0000 0.5000 0.0000  0.02
Pb 0.0000 0.0000 0.5000  0.01
Pb 0.5000 0.0000 0.0000  0.01
Nb 0.0000 0.0000 0.0000  0.98
Te 0.5000 0.5000 0.5000  0.37

B) # NbTePb3

NbTePb3 after structural relaxation (PBE, the Alexandria database).

Cell: 5.8219 5.8219 5.8219 Å, 90.00 90.00 90.00°
Sites, in units of the cell vectors:
Pb 0.5000 0.0000 0.0000
Pb 0.0000 0.5000 0.0000
Pb 0.0000 0.0000 0.5000
Nb 0.5000 0.5000 0.5000
Te 0.0000 0.0000 0.0000

It is A) that is most stable; the runner-up trails by 988 meV per atom.